! ThTlNiAg PBE optimized geometry; values from VASP
&SYSTEM
  ibrav = 0, nat = 4, ntyp = 4
/
ATOMIC_SPECIES
Th 232.04 Th.upf
Tl 204.38 Tl.upf
Ni 58.69 Ni.upf
Ag 107.87 Ag.upf
CELL_PARAMETERS angstrom
4.954 0.000 0.000
2.477 4.290 0.000
2.477 1.430 4.045
ATOMIC_POSITIONS angstrom
Th 7.431 4.290 3.034
Tl 2.477 1.430 1.011
Ni 0.000 0.000 0.000
Ag 4.954 2.860 2.022
! Total moment: 0.0 Bohr magnetons per cell
! Energy relative to the elements: -91 meV/atom

! Tb7HgGe5 PBE optimized geometry; values from VASP
&SYSTEM
  ibrav = 0, nat = 13, ntyp = 3
/
ATOMIC_SPECIES
Tb 158.93 Tb.upf
Ge 72.64 Ge.upf
Hg 200.59 Hg.upf
CELL_PARAMETERS angstrom
-0.531 -1.935 -5.687
-5.616 -5.577 -0.775
-4.776 4.652 -4.335
ATOMIC_POSITIONS angstrom
Tb -5.702 -0.640 -8.842
Tb -2.411 -0.748 -2.718
Ge -2.995 -3.598 -3.132
Tb -5.394 -4.856 -4.239
Ge -8.051 -2.160 -8.106
Tb -5.989 -4.131 -7.627
Hg -0.895 -1.898 -5.665
Tb -4.837 1.925 -6.599
Ge -2.594 1.285 -4.831
Tb -3.996 -1.580 -5.484
Ge -2.756 -2.727 -0.573
Tb -7.698 -1.201 -5.268
Ge -2.355 2.156 -2.273
! Total moment: 0.0 Bohr magnetons per cell
! Energy relative to the elements: -522 meV/atom

! CsHfTe2Se PBE optimized geometry; values from VASP
&SYSTEM
  ibrav = 0, nat = 5, ntyp = 4
/
ATOMIC_SPECIES
Te 127.60 Te.upf
Hf 178.49 Hf.upf
Cs 132.91 Cs.upf
Se 78.96 Se.upf
CELL_PARAMETERS angstrom
5.720 0.000 0.000
0.000 5.720 0.000
0.000 0.000 5.290
ATOMIC_POSITIONS angstrom
Te 2.860 0.000 0.000
Hf 0.000 0.000 0.000
Cs 2.860 2.860 2.645
Se 0.000 0.000 2.645
Te 0.000 2.860 0.000
! ΔE_f (raw): -4.290 eV/f.u.
! Total moment: 0.0 Bohr magnetons per cell

! BaMgSeN2 PBE optimized geometry; values from VASP
&SYSTEM
  ibrav = 0, nat = 5, ntyp = 4
/
ATOMIC_SPECIES
N 14.01 N.upf
Mg 24.30 Mg.upf
Se 78.96 Se.upf
Ba 137.33 Ba.upf
CELL_PARAMETERS angstrom
4.512 0.000 0.000
0.000 4.512 0.000
0.000 0.000 5.241
ATOMIC_POSITIONS angstrom
N 0.000 2.256 0.000
N 2.256 0.000 0.000
Mg 0.000 0.000 0.000
Se 0.000 0.000 2.621
Ba 2.256 2.256 2.621
! ΔE_f (raw): 1.247 eV/f.u.
! Total moment: 4.0 Bohr magnetons per cell
! Energy relative to the lowest polymorph listed for this composition: 0.000 eV per atom

! Na2NiBr5 PBE optimized geometry; values from VASP
&SYSTEM
  ibrav = 0, nat = 16, ntyp = 3
/
ATOMIC_SPECIES
Br 79.90 Br.upf
Ni 58.69 Ni.upf
Na 22.99 Na.upf
CELL_PARAMETERS angstrom
-2.811 -0.248 -4.838
7.257 -1.016 -0.922
-1.550 -12.467 1.539
ATOMIC_POSITIONS angstrom
Br -0.044 -8.252 -2.794
Ni 1.201 -10.208 -3.417
Br 2.539 -10.071 -0.959
Na 1.845 -6.127 -4.000
Na 0.523 -11.856 0.304
Br 2.444 -12.122 -4.041
Br 0.358 -3.660 -3.263
Br 0.452 -1.608 -0.180
Br -0.460 -11.598 -2.381
Na 2.374 -1.874 -4.525
Br 3.357 -2.132 -1.841
Br 0.047 -4.873 0.223
Na 1.052 -7.603 -0.221
Br 2.850 -8.857 -4.444
Ni 1.696 -3.522 -0.805
Br 2.941 -5.479 -1.428
! ΔE_f (raw): -6.832 eV/f.u.
! Total moment: 0.0 Bohr magnetons per cell

! AlPbCl2 PBE optimized geometry; values from VASP
&SYSTEM
  ibrav = 0, nat = 4, ntyp = 3
/
ATOMIC_SPECIES
Al 26.98 Al.upf
Pb 207.20 Pb.upf
Cl 35.45 Cl.upf
CELL_PARAMETERS angstrom
-2.775 -1.272 1.776
-0.060 0.022 -3.531
3.751 -8.347 -0.116
ATOMIC_POSITIONS angstrom
Al 1.396 -6.885 -0.965
Pb -0.480 -2.712 -0.907
Cl 1.975 -4.395 -0.061
Cl 3.652 -8.125 -0.113
! ΔE_f (raw): -1.861 eV/f.u.
! Total moment: 0.0 Bohr magnetons per cell
! Energy relative to the lowest polymorph listed for this composition: 0.127 eV per atom

! CoTcRu2 PBE optimized geometry; values from VASP
&SYSTEM
  ibrav = 0, nat = 4, ntyp = 3
/
ATOMIC_SPECIES
Tc 98.00 Tc.upf
Ru 101.07 Ru.upf
Co 58.93 Co.upf
CELL_PARAMETERS angstrom
2.636 0.005 0.000
-1.173 2.361 0.000
0.000 0.000 8.886
ATOMIC_POSITIONS angstrom
Tc 0.000 0.000 4.505
Ru 0.732 1.183 2.228
Ru 0.000 0.000 8.814
Co 0.732 1.183 6.667
! Total moment: 2.8 Bohr magnetons per cell
! Energy relative to the lowest polymorph listed for this composition: 0.325 eV per atom
! Energy relative to the elements: 412 meV/atom

! Mg2ZnCl2 PBE optimized geometry; values from VASP
&SYSTEM
  ibrav = 0, nat = 5, ntyp = 3
/
ATOMIC_SPECIES
Mg 24.30 Mg.upf
Cl 35.45 Cl.upf
Zn 65.41 Zn.upf
CELL_PARAMETERS angstrom
-4.235 -2.406 -1.458
2.796 -3.313 -2.655
-0.435 -5.650 1.725
ATOMIC_POSITIONS angstrom
Mg -2.695 -5.458 -0.894
Mg 0.821 -5.911 -1.493
Cl -1.252 -7.555 -1.625
Cl -0.622 -3.814 -0.763
Zn 0.000 0.000 0.000
! ΔE_f (raw): -2.054 eV/f.u.
! Total moment: 0.0 Bohr magnetons per cell
! Energy relative to the lowest polymorph listed for this composition: 0.009 eV per atom